Nd2Sn3Pd | PBE-GGA | optimized geometry

Output
final energy = -5.132 eV/atom
calculated formation energy = -0.676 eV per atom
crystal system = orthorhombic
SG = Pmm2 (25)
DOS(E_F) = 0.502 states/eV/atom
offset from the most stable computed form = 0.055 eV/atom

Cell: 4.122 4.824 8.029 Å, 90.00 90.00 90.00°
Atoms (fractional coordinates):
Sn (0.500, 0.000, 0.835)
Sn (0.500, 0.500, 0.648)
Sn (0.500, 0.000, 0.188)
Nd (0.000, 0.500, 0.004)
Nd (0.000, 0.000, 0.504)
Pd (0.500, 0.500, 0.320)